[1]
# GGA-PBE CaSc2Cu, optimized geometry
# Total DFT energy (no corrections)   -0.166 hartree per atom
data_CaSc2Cu
_chemical_formula_sum 'Ca1 Sc2 Cu1'
_symmetry_space_group_name_H-M 'P 1 2/m 1'
_symmetry_Int_Tables_number 10
_symmetry_space_group_name_Hall '-P 2y'
_cell_length_a 3.549
_cell_length_b 4.511
_cell_length_c 6.290
_cell_angle_alpha 90.00
_cell_angle_beta 105.83
_cell_angle_gamma 90.00
loop_
_atom_site_label
_atom_site_type_symbol
_atom_site_fract_x
_atom_site_fract_y
_atom_site_fract_z
_atom_site_occupancy
Ca1 Ca 0.000 0.000 0.000 1
Sc1 Sc 0.372 0.500 0.707 1
Cu1 Cu 0.000 0.000 0.500 1

[2]
# GGA-PBE CaY2HoS4, optimized geometry
# Total DFT energy (no corrections)   -0.240 hartree per atom
data_CaY2HoS4
_chemical_formula_sum 'Ca1 Y2 Ho1 S4'
_symmetry_space_group_name_H-M 'P 1 2/m 1'
_symmetry_Int_Tables_number 10
_symmetry_space_group_name_Hall '-P 2y'
_cell_length_a 6.807
_cell_length_b 3.914
_cell_length_c 6.814
_cell_angle_alpha 90.00
_cell_angle_beta 109.17
_cell_angle_gamma 90.00
loop_
_atom_site_label
_atom_site_type_symbol
_atom_site_fract_x
_atom_site_fract_y
_atom_site_fract_z
_atom_site_occupancy
Ca1 Ca 0.000 0.000 0.000 1
Y1 Y 0.000 0.500 0.500 1
Y2 Y 0.500 0.000 0.500 1
Ho1 Ho 0.500 0.500 0.000 1
S1 S 0.252 0.000 0.752 1
S2 S 0.253 0.500 0.250 1